--- P ---
ZnBP2 | PBE | optimized geometry

Properties
- space group = Fm-3m, No. 225

Unit cell a=4.2046 b=4.2046 c=4.2046 alpha=60.00 beta=60.00 gamma=60.00
Fractional coordinates of all 4 atoms:
P 0.7500 0.7500 0.7500
P 0.2500 0.2500 0.2500
B 0.0000 0.0000 0.0000
Zn 0.5000 0.5000 0.5000

***

--- Q ---
ZnBP2 | PBE | optimized geometry

Properties
- space group = I-42d, No. 122

Unit cell a=5.1044 b=5.1044 c=5.9605 alpha=64.65 beta=64.65 gamma=90.00
Fractional coordinates of all 8 atoms:
B 0.2500 0.7500 0.5000
B 0.5000 0.5000 0.0000
P 0.1850 0.6250 0.2500
P 0.8750 0.8150 0.7500
P 0.5650 0.1250 0.2500
P 0.3750 0.4350 0.7500
Zn 0.0000 0.0000 0.0000
Zn 0.7500 0.2500 0.5000

***

Stability, highest: Q

***

--- P ---
ZnB2P | PBE | optimized geometry

Properties
- space group = Fm-3m, No. 225

Unit cell a=3.9202 b=3.9202 c=3.9202 alpha=60.00 beta=60.00 gamma=60.00
Fractional coordinates of all 4 atoms:
P 0.0000 0.0000 0.0000
B 0.7500 0.7500 0.7500
B 0.2500 0.2500 0.2500
Zn 0.5000 0.5000 0.5000

***

--- Q ---
ZnB2P | PBE | optimized geometry

Properties
- space group = I-42d, No. 122

Unit cell a=4.9232 b=4.9232 c=5.5291 alpha=63.56 beta=63.56 gamma=90.00
Fractional coordinates of all 8 atoms:
P 0.2500 0.7500 0.5000
P 0.5000 0.5000 0.0000
B 0.3750 0.4183 0.7500
B 0.5817 0.1250 0.2500
B 0.1683 0.6250 0.2500
B 0.8750 0.8317 0.7500
Zn 0.7500 0.2500 0.5000
Zn 0.0000 0.0000 0.0000

***

Stability, highest: Q

***

--- P ---
ZrBP3 | PBE | optimized geometry

Properties
- space group = Pm-3m, No. 221

Unit cell a=5.0119 b=5.0119 c=5.0119 alpha=90.00 beta=90.00 gamma=90.00
Fractional coordinates of all 5 atoms:
P 0.5000 0.0000 0.0000
P 0.0000 0.5000 0.0000
P 0.0000 0.0000 0.5000
B 0.5000 0.5000 0.5000
Zr 0.0000 0.0000 0.0000

***

--- Q ---
ZrBP3 | PBE | optimized geometry

Properties
- space group = Pm-3m, No. 221

Unit cell a=4.2012 b=4.2012 c=4.2012 alpha=90.00 beta=90.00 gamma=90.00
Fractional coordinates of all 5 atoms:
P 0.5000 0.0000 0.0000
P 0.0000 0.0000 0.5000
P 0.0000 0.5000 0.0000
B 0.0000 0.0000 0.0000
Zr 0.5000 0.5000 0.5000

***

Stability, highest: Q

***

--- P ---
PaB3 | PBE | optimized geometry

Properties
- space group = C2/m, No. 12

Unit cell a=4.3678 b=4.3678 c=9.4720 alpha=90.04 beta=103.30 gamma=119.98
Fractional coordinates of all 12 atoms:
B 0.4223 0.3956 0.8180
B 0.7917 0.3960 0.8189
B 0.1885 0.5946 0.7831
B 0.2083 0.6040 0.1811
B 0.0000 0.5000 0.5000
B 0.5770 0.9727 0.1811
B 0.8115 0.4054 0.2169
B 0.5777 0.6044 0.1820
B 0.4230 0.0273 0.8189
Pa 0.7602 0.8806 0.6409
Pa 0.2398 0.1194 0.3591
Pa 0.0000 0.0000 0.0000

***

--- Q ---
PaB3 | PBE | optimized geometry

Properties
- space group = P4mm, No. 99

Unit cell a=3.1327 b=3.1327 c=4.4981 alpha=90.00 beta=90.00 gamma=90.00
Fractional coordinates of all 4 atoms:
B 0.0000 0.0000 0.1572
B 0.5000 0.5000 0.1571
B 0.0000 0.5000 0.3467
Pa 0.5000 0.0000 0.6724

***

Stability, highest: P